# NiHgS, optimized geometry, DFT GGA-PBE
# spin magnetization: 0.00 μB/cell
# energy relative to the elements, uncorrected: -0.181 eV/atom
# uncorrected energy: -3.584 eV/atom
data_NiHgS
_chemical_formula_sum 'Ni4 Hg4 S4'
_cell_length_a 13.1111
_cell_length_b 3.3705
_cell_length_c 5.7761
_cell_angle_alpha 90.00
_cell_angle_beta 110.22
_cell_angle_gamma 90.00
_symmetry_space_group_name_H-M 'C 1 2/m 1'
_symmetry_Int_Tables_number 12
loop_
_symmetry_equiv_pos_as_xyz
'x,y,z'
'-x,-y,-z'
'-x,y,-z'
'x,-y,z'
'x+1/2,y+1/2,z'
'-x+1/2,-y+1/2,-z'
'-x+1/2,y+1/2,-z'
'x+1/2,-y+1/2,z'
loop_
_atom_site_label
_atom_site_type_symbol
_atom_site_fract_x
_atom_site_fract_y
_atom_site_fract_z
Ni1 Ni 0.0000 0.0000 0.0000
Ni2 Ni 0.0000 0.5000 0.5000
Hg1 Hg 0.1559 0.0000 0.4717
S1 S 0.0853 0.5000 0.8945